Compound: DyTmP2
Source: the Alexandria database
Functional: PBE
Structure: optimized geometry

Properties
The space group is R-3m. Its distance to the lowest polymorph of the same formula is 0 kJ/mol of formula units.

Structure (POSCAR):
```
DyTmP2
1.0
1.9900 1.1489 6.4908
-1.9900 1.1489 6.4908
0.0000 -2.2978 6.4908
Dy Tm P
1 1 2
Direct
0.0000 0.0000 0.0000 Dy
0.5000 0.5000 0.5000 Tm
0.2488 0.2488 0.2488 P
0.7512 0.7512 0.7512 P
```



Compound: DyTmP2
Source: the Alexandria database
Functional: PBE
Structure: optimized geometry

Properties
The space group is R3m. Its distance to the lowest polymorph of the same formula is 64 kJ/mol of formula units.

Structure (POSCAR):
```
DyTmP2
1.0
1.9689 1.1368 6.7672
-1.9689 1.1368 6.7672
0.0000 -2.2735 6.7672
Dy Tm P
1 1 2
Direct
0.0000 0.0000 0.0000 Dy
0.1713 0.1713 0.1713 Tm
0.5833 0.5833 0.5833 P
0.7546 0.7546 0.7546 P
```



Compound: DyTm4P5
Source: the Alexandria database
Functional: PBE
Structure: optimized geometry

Properties
The space group is I4/m.

Structure (POSCAR):
```
DyTm4P5
1.0
-4.4285 4.4285 2.8007
4.4285 -4.4285 2.8007
4.4285 4.4285 -2.8007
Dy Tm P
1 4 5
Direct
0.0000 0.0000 0.0000 Dy
0.1999 0.3995 0.5994 Tm
0.3995 0.8001 0.1995 Tm
0.6005 0.1999 0.8005 Tm
0.8001 0.6005 0.4006 Tm
0.1006 0.6982 0.7988 P
0.3018 0.1006 0.4024 P
0.5000 0.5000 0.0000 P
0.6982 0.8994 0.5976 P
0.8994 0.3018 0.2012 P
```



Compound: Dy2TmP3
Source: the Alexandria database
Functional: PBE
Structure: optimized geometry

Properties
The space group is C2/m.

Structure (POSCAR):
```
Dy2TmP3
1.0
3.4536 -5.9804 0.0000
3.4536 5.9804 0.0000
-2.3011 0.0000 6.5116
Dy Tm P
4 2 6
Direct
0.0000 0.0000 0.0000 Dy
0.1662 0.8338 0.5000 Dy
0.5000 0.5000 0.5000 Dy
0.8338 0.1662 0.5000 Dy
0.3331 0.6669 0.0000 Tm
0.6669 0.3331 0.0000 Tm
0.0826 0.4178 0.2477 P
0.2529 0.2529 0.7528 P
0.4178 0.0826 0.2477 P
0.5822 0.9174 0.7523 P
0.7471 0.7471 0.2472 P
0.9174 0.5822 0.7523 P
```



Compound: Dy2TmUP4
Source: the Alexandria database
Functional: PBE
Structure: optimized geometry

Properties
The space group is P2/m.

Structure (POSCAR):
```
Dy2TmUP4
1.0
6.8651 0.0000 0.0000
0.0000 3.9576 0.0000
-2.2661 0.0000 6.4919
Dy Tm U P
2 1 1 4
Direct
0.0000 0.0000 0.0000 Dy
0.5000 0.5000 0.0000 Dy
0.0000 0.5000 0.5000 Tm
0.5000 0.0000 0.5000 U
0.2516 0.0000 0.7432 P
0.2534 0.5000 0.2560 P
0.7466 0.5000 0.7440 P
0.7484 0.0000 0.2568 P
```



Compound: DyTmU2P4
Source: the Alexandria database
Functional: PBE
Structure: optimized geometry

Properties
The space group is P2/m.

Structure (POSCAR):
```
DyTmU2P4
1.0
6.8143 0.0000 0.0000
0.0000 3.9353 0.0000
-2.2734 0.0000 6.5330
Dy Tm U P
1 1 2 4
Direct
0.0000 0.0000 0.0000 Dy
0.5000 0.5000 0.0000 Tm
0.0000 0.5000 0.5000 U
0.5000 0.0000 0.5000 U
0.2511 0.0000 0.7478 P
0.2530 0.5000 0.2536 P
0.7470 0.5000 0.7464 P
0.7489 0.0000 0.2522 P
```



Compound: DyY3Tm2P6
Source: the Alexandria database
Functional: PBE
Structure: optimized geometry

Properties
The space group is C2/m.

Structure (POSCAR):
```
DyY3Tm2P6
1.0
3.4566 -5.9859 0.0000
3.4566 5.9859 0.0000
-2.3018 0.0000 6.5182
Dy Y Tm P
1 3 2 6
Direct
0.0000 0.0000 0.0000 Dy
0.1663 0.8337 0.5000 Y
0.5000 0.5000 0.5000 Y
0.8337 0.1663 0.5000 Y
0.3332 0.6668 0.0000 Tm
0.6668 0.3332 0.0000 Tm
0.0823 0.4176 0.2470 P
0.2531 0.2531 0.7532 P
0.4176 0.0823 0.2470 P
0.5824 0.9177 0.7530 P
0.7469 0.7469 0.2468 P
0.9177 0.5824 0.7530 P
```



Compound: Dy2YTmP4
Source: the Alexandria database
Functional: PBE
Structure: optimized geometry

Properties
The space group is P2/m.

Structure (POSCAR):
```
Dy2YTmP4
1.0
6.9165 0.0000 0.0000
0.0000 3.9954 0.0000
-2.3055 0.0000 6.5220
Dy Y Tm P
2 1 1 4
Direct
0.0000 0.0000 0.0000 Dy
0.0000 0.5000 0.5000 Dy
0.5000 0.0000 0.5000 Y
0.5000 0.5000 0.0000 Tm
0.2509 0.5000 0.2483 P
0.2522 0.0000 0.7526 P
0.7478 0.0000 0.2474 P
0.7491 0.5000 0.7517 P
```



Compound: Dy3UP4
Source: the Alexandria database
Functional: PBE
Structure: optimized geometry

Properties
The space group is Cmmm.

Structure (POSCAR):
```
Dy3UP4
1.0
3.9928 -5.6218 0.0000
3.9928 5.6218 0.0000
0.0000 0.0000 3.9735
Dy U P
3 1 4
Direct
0.0000 0.0000 0.0000 Dy
0.0000 0.5000 0.5000 Dy
0.5000 0.0000 0.5000 Dy
0.5000 0.5000 0.0000 U
0.2544 0.7456 0.0000 P
0.2550 0.2550 0.5000 P
0.7450 0.7450 0.5000 P
0.7456 0.2544 0.0000 P
```



Compound: Dy2UP3
Source: the Alexandria database
Functional: PBE
Structure: optimized geometry

Properties
The space group is I4/mmm.

Structure (POSCAR):
```
Dy2UP3
1.0
-1.9910 1.9910 8.4162
1.9910 -1.9910 8.4162
1.9910 1.9910 -8.4162
Dy U P
2 1 3
Direct
0.1679 0.1679 0.0000 Dy
0.8321 0.8321 0.0000 Dy
0.5000 0.5000 0.0000 U
0.0000 0.0000 0.0000 P
0.3358 0.3358 0.0000 P
0.6642 0.6642 0.0000 P
```



Compound: DyUP
Source: the Alexandria database
Functional: PBE
Structure: optimized geometry

Properties
The space group is Cmce.

Structure (POSCAR):
```
DyUP
1.0
4.9647 -4.5048 0.0000
4.9647 4.5048 0.0000
0.0000 0.0000 7.7111
Dy U P
4 4 4
Direct
0.1862 0.1862 0.0000 Dy
0.3138 0.3138 0.5000 Dy
0.6862 0.6862 0.5000 Dy
0.8138 0.8138 0.0000 Dy
0.1202 0.8798 0.5709 U
0.3798 0.6202 0.0709 U
0.6202 0.3798 0.9291 U
0.8798 0.1202 0.4291 U
0.1163 0.8837 0.2241 P
0.3837 0.6163 0.7241 P
0.6163 0.3837 0.2759 P
0.8837 0.1163 0.7759 P
```



Compound: Dy5U3P12
Source: the Alexandria database
Functional: PBE
Structure: optimized geometry

Properties
The space group is Ia-3d.

Structure (POSCAR):
```
Dy5U3P12
1.0
-7.9066 7.9066 7.9066
7.9066 -7.9066 7.9066
7.9066 7.9066 -7.9066
Dy U P
20 12 48
Direct
0.0000 0.0000 0.0000 Dy
0.0000 0.0000 0.5000 Dy
0.0000 0.5000 0.0000 Dy
0.0000 0.5000 0.5000 Dy
0.1250 0.7500 0.8750 Dy
0.1250 0.8750 0.2500 Dy
0.2500 0.1250 0.8750 Dy
0.2500 0.6250 0.3750 Dy
0.3750 0.2500 0.6250 Dy
0.3750 0.6250 0.7500 Dy
0.5000 0.0000 0.0000 Dy
0.5000 0.0000 0.5000 Dy
0.5000 0.5000 0.0000 Dy
0.5000 0.5000 0.5000 Dy
0.6250 0.3750 0.2500 Dy
0.6250 0.7500 0.3750 Dy
0.7500 0.3750 0.6250 Dy
0.7500 0.8750 0.1250 Dy
0.8750 0.1250 0.7500 Dy
0.8750 0.2500 0.1250 Dy
0.1250 0.2500 0.3750 U
0.1250 0.3750 0.7500 U
0.2500 0.3750 0.1250 U
0.2500 0.8750 0.6250 U
0.3750 0.1250 0.2500 U
0.3750 0.7500 0.1250 U
0.6250 0.2500 0.8750 U
0.6250 0.8750 0.7500 U
0.7500 0.1250 0.3750 U
0.7500 0.6250 0.8750 U
0.8750 0.6250 0.2500 U
0.8750 0.7500 0.6250 U
0.0729 0.2423 0.1523 P
0.0729 0.3306 0.9205 P
0.0795 0.6523 0.4100 P
0.0795 0.9271 0.6694 P
0.0900 0.7423 0.6694 P
0.0900 0.8477 0.4205 P
0.1523 0.0729 0.2423 P
0.1523 0.5795 0.9100 P
0.1694 0.2423 0.5900 P
0.1694 0.4271 0.5795 P
0.2423 0.1523 0.0729 P
0.2423 0.5900 0.1694 P
0.2577 0.3306 0.9100 P
0.2577 0.4271 0.3477 P
0.3306 0.9100 0.2577 P
0.3306 0.9205 0.0729 P
0.3477 0.2577 0.4271 P
0.3477 0.5900 0.9205 P
0.4100 0.0795 0.6523 P
0.4100 0.8306 0.7577 P
0.4205 0.0900 0.8477 P
0.4205 0.8306 0.5729 P
0.4271 0.3477 0.2577 P
0.4271 0.5795 0.1694 P
0.5729 0.4205 0.8306 P
0.5729 0.6523 0.7423 P
0.5795 0.1694 0.4271 P
0.5795 0.9100 0.1523 P
0.5900 0.1694 0.2423 P
0.5900 0.9205 0.3477 P
0.6523 0.4100 0.0795 P
0.6523 0.7423 0.5729 P
0.6694 0.0795 0.9271 P
0.6694 0.0900 0.7423 P
0.7423 0.5729 0.6523 P
0.7423 0.6694 0.0900 P
0.7577 0.4100 0.8306 P
0.7577 0.8477 0.9271 P
0.8306 0.5729 0.4205 P
0.8306 0.7577 0.4100 P
0.8477 0.4205 0.0900 P
0.8477 0.9271 0.7577 P
0.9100 0.1523 0.5795 P
0.9100 0.2577 0.3306 P
0.9205 0.0729 0.3306 P
0.9205 0.3477 0.5900 P
0.9271 0.6694 0.0795 P
0.9271 0.7577 0.8477 P
```



Compound: DyY2UP4
Source: the Alexandria database
Functional: PBE
Structure: optimized geometry

Properties
The space group is P2/m.

Structure (POSCAR):
```
DyY2UP4
1.0
6.9033 0.0000 0.0000
0.0000 3.9766 0.0000
-2.2734 0.0000 6.5182
Dy Y U P
1 2 1 4
Direct
0.0000 0.0000 0.0000 Dy
0.5000 0.0000 0.5000 Y
0.5000 0.5000 0.0000 Y
0.0000 0.5000 0.5000 U
0.2444 0.0000 0.7448 P
0.2449 0.5000 0.2542 P
0.7551 0.5000 0.7458 P
0.7556 0.0000 0.2552 P
```



Compound: DyZrU2P4
Source: the Alexandria database
Functional: PBE
Structure: optimized geometry

Properties
The space group is P2/m.

Structure (POSCAR):
```
DyZrU2P4
1.0
6.7241 0.0000 0.0000
0.0000 3.8778 0.0000
-2.2285 0.0000 6.4273
Dy Zr U P
1 1 2 4
Direct
0.0000 0.0000 0.0000 Dy
0.5000 0.5000 0.0000 Zr
0.0000 0.5000 0.5000 U
0.5000 0.0000 0.5000 U
0.2569 0.5000 0.2489 P
0.2585 0.0000 0.7556 P
0.7415 0.0000 0.2444 P
0.7431 0.5000 0.7511 P
```



Compound: Dy2ZrUP4
Source: the Alexandria database
Functional: PBE
Structure: optimized geometry

Properties
The space group is P2/m.

Structure (POSCAR):
```
Dy2ZrUP4
1.0
6.7524 0.0000 0.0000
0.0000 3.9063 0.0000
-2.2318 0.0000 6.4239
Dy Zr U P
2 1 1 4
Direct
0.0000 0.0000 0.0000 Dy
0.5000 0.5000 0.0000 Dy
0.0000 0.5000 0.5000 Zr
0.5000 0.0000 0.5000 U
0.2430 0.0000 0.7368 P
0.2488 0.5000 0.2594 P
0.7512 0.5000 0.7406 P
0.7570 0.0000 0.2632 P
```



Compound: DyVP
Source: the Alexandria database
Functional: PBE
Structure: optimized geometry

Properties
The space group is Immm.

Structure (POSCAR):
```
DyVP
1.0
-1.7227 2.8044 5.6868
1.7227 -2.8044 5.6868
1.7227 2.8044 -5.6868
Dy V P
2 2 2
Direct
0.1838 0.1838 0.0000 Dy
0.8162 0.8162 0.0000 Dy
0.2933 0.5000 0.7933 V
0.7067 0.5000 0.2067 V
0.3784 0.8784 0.5000 P
0.6216 0.1216 0.5000 P
```



Compound: DyP2W
Source: the Alexandria database
Functional: PBE
Structure: optimized geometry

Properties
The space group is R-3m.

Structure (POSCAR):
```
DyP2W
1.0
1.4870 0.8585 9.5324
-1.4870 0.8585 9.5324
0.0000 -1.7171 9.5324
Dy P W
1 2 1
Direct
0.0000 0.0000 0.0000 Dy
0.4140 0.4140 0.4140 P
0.5860 0.5860 0.5860 P
0.5000 0.5000 0.5000 W
```



Compound: Dy2YP3
Source: the Alexandria database
Functional: PBE
Structure: optimized geometry

Properties
The space group is Pnma.

Structure (POSCAR):
```
Dy2YP3
1.0
8.0091 0.0000 0.0000
0.0000 5.6675 0.0000
0.0000 0.0000 12.0438
Dy Y P
8 4 12
Direct
0.1250 0.2500 0.0834 Dy
0.1249 0.2500 0.7499 Dy
0.3751 0.7500 0.2499 Dy
0.3750 0.7500 0.5834 Dy
0.6250 0.2500 0.4166 Dy
0.6249 0.2500 0.7501 Dy
0.8751 0.7500 0.2501 Dy
0.8750 0.7500 0.9166 Dy
0.1251 0.2500 0.4167 Y
0.3749 0.7500 0.9167 Y
0.6251 0.2500 0.0833 Y
0.8749 0.7500 0.5833 Y
0.1246 0.7500 0.0836 P
0.1255 0.7500 0.4166 P
0.1249 0.7500 0.7499 P
0.3751 0.2500 0.2499 P
0.3754 0.2500 0.5836 P
0.3745 0.2500 0.9166 P
0.6255 0.7500 0.0834 P
0.6246 0.7500 0.4164 P
0.6249 0.7500 0.7501 P
0.8751 0.2500 0.2501 P
0.8745 0.2500 0.5834 P
0.8754 0.2500 0.9164 P
```



Compound: Dy4YP5
Source: the Alexandria database
Functional: PBE
Structure: optimized geometry

Properties
The space group is I4/m.

Structure (POSCAR):
```
Dy4YP5
1.0
-4.4828 4.4828 2.8348
4.4828 -4.4828 2.8348
4.4828 4.4828 -2.8348
Dy Y P
4 1 5
Direct
0.1000 0.7000 0.8000 Dy
0.3000 0.1000 0.4000 Dy
0.7000 0.9000 0.6000 Dy
0.9000 0.3000 0.2000 Dy
0.5000 0.5000 0.0000 Y
0.0000 0.0000 0.0000 P
0.1997 0.3998 0.5995 P
0.3998 0.8003 0.2001 P
0.6002 0.1997 0.7999 P
0.8003 0.6002 0.4005 P
```



Compound: Dy3YP4
Source: the Alexandria database
Functional: PBE
Structure: optimized geometry

Properties
The space group is Cmmm.

Structure (POSCAR):
```
Dy3YP4
1.0
4.0085 -5.6683 0.0000
4.0085 5.6683 0.0000
0.0000 0.0000 4.0097
Dy Y P
3 1 4
Direct
0.0000 0.0000 0.0000 Dy
0.0000 0.5000 0.5000 Dy
0.5000 0.0000 0.5000 Dy
0.5000 0.5000 0.0000 Y
0.2495 0.2495 0.5000 P
0.2498 0.7502 0.0000 P
0.7502 0.2498 0.0000 P
0.7505 0.7505 0.5000 P
```



| no. | energy of formation (meV per atom) | energy (eV/atom) |
| --- | --- | --- |
| 1 | -1610 | -6.5835 |
| 2 | -1446 | -6.4195 |
| 3 | -1608 | -6.5621 |
| 4 | -1611 | -6.5952 |
| 5 | -1451 | -7.2768 |
| 6 | -1290 | -7.9516 |
| 7 | -1618 | -7.0673 |
| 8 | -1615 | -6.8379 |
| 9 | -1454 | -7.2957 |
| 10 | -1400 | -7.5202 |
| 11 | -141 | -7.2412 |
| 12 | -584 | -6.6740 |
| 13 | -1460 | -7.7674 |
| 14 | -1246 | -8.4171 |
| 15 | -1389 | -7.7239 |
| 16 | -727 | -7.1039 |
| 17 | 395 | -6.6984 |
| 18 | -1621 | -6.9370 |
| 19 | -1619 | -6.8114 |
| 20 | -1619 | -6.8578 |